1.
SnPbSeBr2 | GGA-PBE | optimized geometry

Output
**Crystal system**: orthorhombic
**Theoretical density**: 5.69 g/cm³
**Final energy**: -17.8 eV/f.u.
**ΔE to the lowest computed polymorph**: 0 meV/atom
**Formation energy without anion corrections**: -0.6546 eV per atom

abc: 4.305 7.366 10.860
angles: 90.00 90.00 106.99
Fractional positions:
Sn  0.000  0.000  0.500
Sn  0.000  0.000  0.000
Pb  0.285  0.570  0.750
Pb  0.715  0.430  0.250
Se  0.919  0.837  0.750
Se  0.081  0.163  0.250
Br  0.645  0.291  0.558
Br  0.355  0.709  0.442
Br  0.355  0.709  0.058
Br  0.645  0.291  0.942

2.
Sn2Pb2Se3Br2 | GGA-PBE | optimized geometry

Output
**Density of states at the Fermi level**: 0.81 states/eV per cell
**Crystal system**: tetragonal
**Theoretical density**: 6.37 g/cm³
**Final energy**: -32.7 eV/f.u.
**Formation energy without anion corrections**: -0.3829 eV per atom

abc: 5.911 5.911 8.866
angles: 109.47 109.47 90.00
Fractional positions:
Sn  0.500  0.000  0.000
Sn  0.000  0.500  0.000
Pb  0.209  0.209  0.418
Pb  0.791  0.791  0.582
Se  0.000  0.000  0.000
Se  0.250  0.750  0.500
Se  0.750  0.250  0.500
Br  0.600  0.600  0.200
Br  0.400  0.400  0.800

3.
Sn2PbSeBr | GGA-PBE | optimized geometry

Output
**Density of states at the Fermi level**: 8.23 states/eV per cell
**Crystal system**: tetragonal
**Theoretical density**: 5.47 g/cm³
**Final energy**: -13.8 eV/f.u.
**Formation energy without anion corrections**: 0.6202 eV per atom

abc: 5.575 5.893 5.575
angles: 90.00 90.00 90.00
Fractional positions:
Pb  0.000  0.500  0.000
Se  0.500  0.500  0.500
Sn  0.000  0.000  0.500
Sn  0.500  0.000  0.000
Br  0.000  0.000  0.000

4.
SnPbSeBr2 | GGA-PBE | optimized geometry

Output
**Density of states at the Fermi level**: 2.44 states/eV per cell
**Crystal system**: tetragonal
**Theoretical density**: 5.72 g/cm³
**Final energy**: -15.7 eV/f.u.
**ΔE to the lowest computed polymorph**: 425 meV/atom
**Formation energy without anion corrections**: -0.2294 eV per atom

abc: 5.416 5.416 5.590
angles: 90.00 90.00 90.00
Last column: magnetic moment on the atom in μB.
Fractional positions:
Pb  0.500  0.500  0.500  0.08
Se  0.000  0.000  0.500  -0.01
Sn  0.000  0.000  0.000  0.00
Br  0.000  0.500  0.000  0.00
Br  0.500  0.000  0.000  0.00

5.
SrPbSe2Br | GGA-PBE | optimized geometry

Output
**Density of states at the Fermi level**: 3.59 states/eV per cell
**Crystal system**: tetragonal
**Theoretical density**: 5.11 g/cm³
**Final energy**: -17.8 eV/f.u.
**ΔE to the lowest computed polymorph**: 0 meV/atom
**Formation energy without anion corrections**: -0.7571 eV per atom

abc: 5.533 5.533 5.649
angles: 90.00 90.00 90.00
Fractional positions:
Pb  0.000  0.000  0.000
Sr  0.500  0.500  0.500
Se  0.000  0.500  0.000
Se  0.500  0.000  0.000
Br  0.000  0.000  0.500

6.
Sr2Pb2Se3Br2 | GGA-PBE | optimized geometry

Output
**Crystal system**: tetragonal
**Theoretical density**: 5.73 g/cm³
**Final energy**: -35.4 eV/f.u.
**Formation energy without anion corrections**: -1.2070 eV per atom

abc: 6.030 6.030 8.936
angles: 109.72 109.72 90.00
Fractional positions:
Sr  0.500  0.000  0.000
Sr  0.000  0.500  0.000
Pb  0.212  0.212  0.425
Pb  0.788  0.788  0.575
Se  0.000  0.000  0.000
Se  0.250  0.750  0.500
Se  0.750  0.250  0.500
Br  0.599  0.599  0.197
Br  0.401  0.401  0.803

7.
SrPbSe2Br | GGA-PBE | optimized geometry

Output
**Density of states at the Fermi level**: 5.24 states/eV per cell
**Crystal system**: tetragonal
**Theoretical density**: 4.72 g/cm³
**Final energy**: -16.5 eV/f.u.
**ΔE to the lowest computed polymorph**: 272 meV/atom
**Formation energy without anion corrections**: -0.4850 eV per atom

abc: 5.739 5.739 5.688
angles: 90.00 90.00 90.00
Fractional positions:
Pb  0.500  0.500  0.500
Sr  0.000  0.000  0.000
Se  0.000  0.500  0.000
Se  0.500  0.000  0.000
Br  0.000  0.000  0.500

8.
TaPbSe2Br | GGA-PBE | optimized geometry

Output
**Density of states at the Fermi level**: 3.07 states/eV per cell
**Crystal system**: tetragonal
**Theoretical density**: 7.79 g/cm³
**Final energy**: -25.2 eV/f.u.
**ΔE to the lowest computed polymorph**: 0 meV/atom
**Formation energy without anion corrections**: -0.2085 eV per atom

abc: 5.102 5.102 5.126
angles: 90.00 90.00 90.00
Fractional positions:
Pb  0.500  0.500  0.500
Se  0.000  0.500  0.000
Se  0.500  0.000  0.000
Br  0.000  0.000  0.500
Ta  0.000  0.000  0.000

Number 1: spin magnetization 0.00 μB/cell. Number 2: spin magnetization 0.00 μB/cell. Number 3: spin magnetization 0.00 μB/cell. Number 4: spin magnetization 0.20 μB/cell. Number 5: spin magnetization 0.00 μB/cell. Number 6: spin magnetization 0.00 μB/cell. Number 7: spin magnetization 0.00 μB/cell. Number 8: spin magnetization 0.00 μB/cell.